# 1
Computed, not measured: a relaxed Sc2CdGe crystal at the PBE level of DFT.

Output
DOS at the Fermi energy = 3.5 states/eV/f.u.
Space group = No. 123
Crystal system = tetragonal

Geometry as POSCAR:
```
Sc2CdGe
1.0
3.5090 0.0000 0.0000
0.0000 3.5090 0.0000
0.0000 0.0000 6.6575
Sc Ge Cd
2 1 1
Cartesian
0.0000 0.0000 5.1199
0.0000 0.0000 1.5377
1.7545 1.7545 0.0000
1.7545 1.7545 3.3288
```

# 2
Computed, not measured: a relaxed ScCdGe3 crystal at the PBE level of DFT.

Output
DOS at the Fermi energy = 4.8 states/eV/f.u.
Space group = No. 221
Crystal system = cubic

Geometry as POSCAR:
```
ScCdGe3
1.0
5.1713 0.0000 0.0000
0.0000 5.1713 0.0000
0.0000 0.0000 5.1713
Sc Ge Cd
1 3 1
Cartesian
0.0000 0.0000 0.0000
0.0000 2.5856 0.0000
0.0000 0.0000 2.5856
2.5856 0.0000 0.0000
2.5856 2.5856 2.5856
```

Record-wise energy relative to the elements values, in kcal/mol of atoms: -10.7; 10.9